(1)
The following is a PBE calculation of a relaxed structure of DyHo2InN, from Alexandria via LeMat-Bulk.

Output
Formation energy without anion corrections (eV per atom): -1.00

abc: 4.8188 4.7925 4.7925
angles: 90.00 90.00 90.00
Closest atoms and distances in Å follow each position.
Positions (direct):
Ho 0.0000 0.0000 0.5000  2 N 2.40
Ho 0.0000 0.5000 0.0000  2 N 2.40
In 0.5000 0.5000 0.5000  4 Dy 3.39, 8 Ho 3.40
Dy 0.5000 0.0000 0.0000  2 N 2.41
N 0.0000 0.0000 0.0000  4 Ho 2.40, 2 Dy 2.41



(2)
The following is a PBE calculation of a relaxed structure of Nd6Dy3Ho2In, from Alexandria via LeMat-Bulk.

Output
ΔE_f (eV per atom): -0.03

abc: 6.2145 6.2145 11.8024
angles: 95.08 95.08 120.12
Closest atoms and distances in Å follow each position.
Positions (direct):
Nd 0.9183 0.5907 0.7528  1 In 3.52, 6 Nd 3.52-3.62, 2 Ho 3.55-3.56, 3 Dy 3.58-3.61
Dy 0.5000 0.5000 0.5000  6 Dy 3.58-3.59, 6 Nd 3.58-3.60
Dy 0.1678 0.8322 0.5000  6 Dy 3.57-3.61, 6 Nd 3.58-3.61
In 0.0000 0.0000 0.0000  6 Nd 3.52-3.54, 6 Ho 3.58-3.59
Ho 0.3337 0.6663 0.0000  6 Nd 3.55-3.56, 3 In 3.58-3.59, 3 Ho 3.58-3.59
Nd 0.4093 0.0817 0.2472  1 In 3.52, 6 Nd 3.52-3.62, 2 Ho 3.55-3.56, 3 Dy 3.58-3.61
Nd 0.0817 0.4093 0.2472  1 In 3.52, 6 Nd 3.52-3.62, 2 Ho 3.55-3.56, 3 Dy 3.58-3.61
Nd 0.7548 0.7548 0.2486  6 Nd 3.52-3.62, 1 In 3.54, 2 Ho 3.56, 3 Dy 3.58-3.60
Dy 0.8322 0.1678 0.5000  6 Dy 3.57-3.61, 6 Nd 3.58-3.61
Nd 0.2452 0.2452 0.7514  6 Nd 3.52-3.62, 1 In 3.54, 2 Ho 3.56, 3 Dy 3.58-3.60
Ho 0.6663 0.3337 0.0000  6 Nd 3.55-3.56, 3 In 3.58-3.59, 3 Ho 3.58-3.59
Nd 0.5907 0.9183 0.7528  1 In 3.52, 6 Nd 3.52-3.62, 2 Ho 3.55-3.56, 3 Dy 3.58-3.61



(3)
The following is a PBE calculation of a relaxed structure of Nd2Dy2Ho2In, from Alexandria via LeMat-Bulk.

Output
ΔE_f (eV per atom): -0.02

abc: 3.5217 6.1143 11.6441
angles: 111.36 90.00 106.74
Closest atoms and distances in Å follow each position.
Positions (direct):
Ho 0.7509 0.5017 0.6320  2 In 3.26, 3 Nd 3.38-3.54, 4 Ho 3.52-3.54, 2 Dy 3.55
Dy 0.6730 0.3461 0.0842  5 Dy 3.52-3.77, 4 Nd 3.53-3.68, 2 Ho 3.55
Dy 0.3270 0.6540 0.9158  5 Dy 3.52-3.77, 4 Nd 3.53-3.68, 2 Ho 3.55
Nd 0.5334 0.0667 0.7569  2 In 3.36, 3 Ho 3.38-3.54, 2 Nd 3.52, 4 Dy 3.53-3.68
Ho 0.2491 0.4983 0.3680  2 In 3.26, 3 Nd 3.38-3.54, 4 Ho 3.52-3.54, 2 Dy 3.55
Nd 0.4666 0.9333 0.2431  2 In 3.36, 3 Ho 3.38-3.54, 2 Nd 3.52, 4 Dy 3.53-3.68
In 0.0000 0.0000 0.5000  4 Ho 3.26, 4 Nd 3.36, 2 In 3.52



(4)
The following is a PBE calculation of a relaxed structure of NdDyHo2In4, from Alexandria via LeMat-Bulk.

Output
ΔE_f (eV per atom): -0.46

abc: 5.3436 5.3436 9.2782
angles: 73.26 73.26 60.00
Closest atoms and distances in Å follow each position.
Positions (direct):
In 0.3764 0.3764 0.8708  1 Dy 3.24, 4 Ho 3.26-3.33, 3 Nd 3.29
In 0.1263 0.1263 0.6212  4 Ho 3.24-3.28, 3 Dy 3.26, 1 Nd 3.31
Ho 0.2496 0.2496 0.2511  8 In 3.24-3.33
Nd 0.0000 0.0000 0.0000  8 In 3.29-3.31
Dy 0.5000 0.5000 0.5000  8 In 3.24-3.26
In 0.8737 0.8737 0.3788  4 Ho 3.24-3.28, 3 Dy 3.26, 1 Nd 3.31
Ho 0.7504 0.7504 0.7489  8 In 3.24-3.33
In 0.6236 0.6236 0.1292  1 Dy 3.24, 4 Ho 3.26-3.33, 3 Nd 3.29



(5)
The following is a PBE calculation of a relaxed structure of Nd2Dy3Ho6In, from Alexandria via LeMat-Bulk.

Output
ΔE_f (eV per atom): -0.06

abc: 6.0840 6.0840 11.6988
angles: 94.98 94.98 120.03
Closest atoms and distances in Å follow each position.
Positions (direct):
Ho 0.4102 0.0828 0.2498  6 Ho 3.45-3.54, 1 In 3.50, 3 Dy 3.51-3.55, 2 Nd 3.53
Dy 0.5000 0.5000 0.5000  6 Dy 3.51, 6 Ho 3.51-3.54
Ho 0.0828 0.4102 0.2498  6 Ho 3.45-3.54, 1 In 3.50, 3 Dy 3.51-3.55, 2 Nd 3.53
Dy 0.1668 0.8332 0.5000  6 Ho 3.51-3.55, 6 Dy 3.51-3.52
Nd 0.6662 0.3338 0.0000  3 Nd 3.50-3.52, 3 In 3.51-3.52, 6 Ho 3.53-3.54
Ho 0.9172 0.5898 0.7502  6 Ho 3.45-3.54, 1 In 3.50, 3 Dy 3.51-3.55, 2 Nd 3.53
In 0.0000 0.0000 0.0000  6 Ho 3.50-3.51, 6 Nd 3.51-3.52
Dy 0.8332 0.1668 0.5000  6 Ho 3.51-3.55, 6 Dy 3.51-3.52
Ho 0.2443 0.2443 0.7493  6 Ho 3.45-3.54, 3 Dy 3.51-3.54, 1 In 3.51, 2 Nd 3.54
Ho 0.5898 0.9172 0.7502  6 Ho 3.45-3.54, 1 In 3.50, 3 Dy 3.51-3.55, 2 Nd 3.53
Nd 0.3338 0.6662 0.0000  3 Nd 3.50-3.52, 3 In 3.51-3.52, 6 Ho 3.53-3.54
Ho 0.7557 0.7557 0.2507  6 Ho 3.45-3.54, 3 Dy 3.51-3.54, 1 In 3.51, 2 Nd 3.54



(6)
The following is a PBE calculation of a relaxed structure of DyHo2InO, from Alexandria via LeMat-Bulk.

Output
Formation energy without anion corrections (eV per atom): -1.42

abc: 4.7843 4.7531 4.7531
angles: 90.00 90.00 90.00
Closest atoms and distances in Å follow each position.
Positions (direct):
In 0.5000 0.5000 0.5000  4 Dy 3.36, 8 Ho 3.37
Dy 0.5000 0.0000 0.0000  2 O 2.39
O 0.0000 0.0000 0.0000  4 Ho 2.38, 2 Dy 2.39
Ho 0.0000 0.0000 0.5000  2 O 2.38
Ho 0.0000 0.5000 0.0000  2 O 2.38



(7)
The following is a PBE calculation of a relaxed structure of Dy2HoInO, from Alexandria via LeMat-Bulk.

Output
Formation energy without anion corrections (eV per atom): -1.43

abc: 4.7515 4.7821 4.7821
angles: 90.00 90.00 90.00
Closest atoms and distances in Å follow each position.
Positions (direct):
O 0.0000 0.0000 0.0000  2 Ho 2.38, 4 Dy 2.39
Dy 0.0000 0.0000 0.5000  2 O 2.39
Dy 0.0000 0.5000 0.0000  2 O 2.39
In 0.5000 0.5000 0.5000  8 Dy 3.37, 4 Ho 3.38
Ho 0.5000 0.0000 0.0000  2 O 2.38



(8)
The following is a PBE calculation of a relaxed structure of Pm2Dy2Ho2In, from Alexandria via LeMat-Bulk.

Output
ΔE_f (eV per atom): -0.02

abc: 5.8379 4.1304 13.0003
angles: 99.08 90.00 134.96
Closest atoms and distances in Å follow each position.
Positions (direct):
Ho 0.5668 0.1336 0.6290  1 Ho 3.27, 4 In 3.33-3.36, 4 Dy 3.46-3.48
Pm 0.2903 0.5806 0.0808  4 Dy 3.43-3.44, 4 Pm 3.57, 1 Ho 3.68
Dy 0.1385 0.2770 0.7764  4 Pm 3.43-3.44, 4 Ho 3.46-3.48, 1 In 3.50
Pm 0.7097 0.4194 0.9192  4 Dy 3.43-3.44, 4 Pm 3.57, 1 Ho 3.68
Dy 0.8615 0.7230 0.2236  4 Pm 3.43-3.44, 4 Ho 3.46-3.48, 1 In 3.50
In 0.0000 0.0000 0.5000  8 Ho 3.33-3.36, 2 Dy 3.50
Ho 0.4332 0.8664 0.3710  1 Ho 3.27, 4 In 3.33-3.36, 4 Dy 3.46-3.48



(9)
The following is a PBE calculation of a relaxed structure of Pm2Dy6Ho3In, from Alexandria via LeMat-Bulk.

Output
ΔE_f (eV per atom): -0.05

abc: 6.0867 6.0867 11.6933
angles: 94.99 94.99 120.04
Closest atoms and distances in Å follow each position.
Positions (direct):
Pm 0.6661 0.3339 0.0000  3 Pm 3.50-3.52, 3 In 3.51-3.52, 6 Dy 3.53-3.54
Dy 0.9170 0.5896 0.7501  6 Dy 3.45-3.55, 1 In 3.50, 3 Ho 3.51-3.54, 2 Pm 3.53
Dy 0.0830 0.4104 0.2499  6 Dy 3.45-3.55, 1 In 3.50, 3 Ho 3.51-3.54, 2 Pm 3.53
Dy 0.7559 0.7559 0.2510  6 Dy 3.45-3.55, 3 Ho 3.50-3.53, 1 In 3.51, 2 Pm 3.54
In 0.0000 0.0000 0.0000  6 Dy 3.50-3.51, 6 Pm 3.51-3.52
Dy 0.4104 0.0830 0.2499  6 Dy 3.45-3.55, 1 In 3.50, 3 Ho 3.51-3.54, 2 Pm 3.53
Dy 0.5896 0.9170 0.7501  6 Dy 3.45-3.55, 1 In 3.50, 3 Ho 3.51-3.54, 2 Pm 3.53
Dy 0.2441 0.2441 0.7490  6 Dy 3.45-3.55, 3 Ho 3.50-3.53, 1 In 3.51, 2 Pm 3.54
Pm 0.3339 0.6661 0.0000  3 Pm 3.50-3.52, 3 In 3.51-3.52, 6 Dy 3.53-3.54
Ho 0.5000 0.5000 0.5000  6 Dy 3.51-3.53, 6 Ho 3.51
Ho 0.1668 0.8332 0.5000  6 Dy 3.50-3.54, 6 Ho 3.51-3.52
Ho 0.8332 0.1668 0.5000  6 Dy 3.50-3.54, 6 Ho 3.51-3.52



(10)
The following is a PBE calculation of a relaxed structure of PmDyHo2In4, from Alexandria via LeMat-Bulk.

Output
ΔE_f (eV per atom): -0.47

abc: 5.3334 5.3334 9.2591
angles: 73.26 73.26 60.00
Closest atoms and distances in Å follow each position.
Positions (direct):
In 0.8740 0.8740 0.3780  4 Ho 3.24-3.27, 3 Dy 3.26, 1 Pm 3.30
Pm 0.0000 0.0000 0.0000  8 In 3.28-3.30
In 0.1260 0.1260 0.6220  4 Ho 3.24-3.27, 3 Dy 3.26, 1 Pm 3.30
Ho 0.7503 0.7503 0.7492  8 In 3.24-3.31
Dy 0.5000 0.5000 0.5000  8 In 3.25-3.26
Ho 0.2497 0.2497 0.2508  8 In 3.24-3.31
In 0.6239 0.6239 0.1282  1 Dy 3.25, 4 Ho 3.26-3.31, 3 Pm 3.28
In 0.3761 0.3761 0.8718  1 Dy 3.25, 4 Ho 3.26-3.31, 3 Pm 3.28



(11)
The following is a PBE calculation of a relaxed structure of Pm6Dy2Ho3In, from Alexandria via LeMat-Bulk.

Output
ΔE_f (eV per atom): -0.04

abc: 6.1766 6.1766 11.7558
angles: 95.06 95.06 120.11
Closest atoms and distances in Å follow each position.
Positions (direct):
Pm 0.9174 0.5898 0.7518  6 Pm 3.50-3.60, 1 In 3.51, 2 Dy 3.54-3.55, 3 Ho 3.56-3.58
Pm 0.2444 0.2444 0.7505  6 Pm 3.50-3.60, 1 In 3.53, 3 Ho 3.55-3.58, 2 Dy 3.55
Ho 0.5000 0.5000 0.5000  6 Pm 3.56-3.58, 6 Ho 3.56-3.57
Dy 0.6662 0.3338 0.0000  6 Pm 3.54-3.55, 3 Dy 3.56-3.57, 3 In 3.56-3.57
Ho 0.1676 0.8324 0.5000  6 Pm 3.55-3.58, 6 Ho 3.55-3.59
Ho 0.8324 0.1676 0.5000  6 Pm 3.55-3.58, 6 Ho 3.55-3.59
Dy 0.3338 0.6662 0.0000  6 Pm 3.54-3.55, 3 Dy 3.56-3.57, 3 In 3.56-3.57
Pm 0.7556 0.7556 0.2495  6 Pm 3.50-3.60, 1 In 3.53, 3 Ho 3.55-3.58, 2 Dy 3.55
In 0.0000 0.0000 0.0000  6 Pm 3.51-3.53, 6 Dy 3.56-3.57
Pm 0.4102 0.0826 0.2482  6 Pm 3.50-3.60, 1 In 3.51, 2 Dy 3.54-3.55, 3 Ho 3.56-3.58
Pm 0.0826 0.4102 0.2482  6 Pm 3.50-3.60, 1 In 3.51, 2 Dy 3.54-3.55, 3 Ho 3.56-3.58
Pm 0.5898 0.9174 0.7518  6 Pm 3.50-3.60, 1 In 3.51, 2 Dy 3.54-3.55, 3 Ho 3.56-3.58



(12)
The following is a PBE calculation of a relaxed structure of Pm3Dy6Ho2In, from Alexandria via LeMat-Bulk.

Output
ΔE_f (eV per atom): -0.04

abc: 6.1336 6.1336 11.6535
angles: 95.05 95.05 120.02
Closest atoms and distances in Å follow each position.
Positions (direct):
Ho 0.3339 0.6661 0.0000  6 Dy 3.47-3.48, 3 Ho 3.53-3.55, 3 In 3.54-3.55
Dy 0.5917 0.9196 0.7566  1 In 3.44, 2 Ho 3.47, 6 Dy 3.48-3.57, 3 Pm 3.57-3.60
Pm 0.8327 0.1673 0.5000  6 Pm 3.53-3.55, 6 Dy 3.57-3.60
Dy 0.9196 0.5917 0.7566  1 In 3.44, 2 Ho 3.47, 6 Dy 3.48-3.57, 3 Pm 3.57-3.60
Dy 0.2474 0.2474 0.7553  1 In 3.46, 2 Ho 3.48, 6 Dy 3.48-3.57, 3 Pm 3.57-3.59
Pm 0.1673 0.8327 0.5000  6 Pm 3.53-3.55, 6 Dy 3.57-3.60
Dy 0.7526 0.7526 0.2447  1 In 3.46, 2 Ho 3.48, 6 Dy 3.48-3.57, 3 Pm 3.57-3.59
In 0.0000 0.0000 0.0000  6 Dy 3.44-3.46, 6 Ho 3.54-3.55
Ho 0.6661 0.3339 0.0000  6 Dy 3.47-3.48, 3 Ho 3.53-3.55, 3 In 3.54-3.55
Pm 0.5000 0.5000 0.5000  6 Pm 3.54, 6 Dy 3.58-3.59
Dy 0.4083 0.0804 0.2434  1 In 3.44, 2 Ho 3.47, 6 Dy 3.48-3.57, 3 Pm 3.57-3.60
Dy 0.0804 0.4083 0.2434  1 In 3.44, 2 Ho 3.47, 6 Dy 3.48-3.57, 3 Pm 3.57-3.60



Which density of states at the Fermi level belongs to each record? In order, 0.498, 1.161, 1.504, 0.459, 1.290, 0.287, 0.293, 1.856, 1.280, 0.455, 1.094, 1.378 states/eV/atom.